Record 1
DyNi4Ag PBE-GGA optimized geometry; crystal system = cubic; D(E_F) = 7.1 states/eV/f.u.; space-group type = F-43m; ΔH_f (0 K) = -289 meV per atom
1.0
-4.0409 2.8170 0.4036
-1.7664 1.1618 4.4674
0.3754 4.6339 1.6773
Ni Dy Ag
4 1 1
direct
0.6245 0.6245 0.6245 Ni
0.6245 0.6245 0.1265 Ni
0.1265 0.6245 0.6245 Ni
0.6245 0.1265 0.6245 Ni
0.0000 0.0000 0.0000 Dy
0.2500 0.2500 0.2500 Ag


Record 2
Mg2ScB2O6 PBE-GGA optimized geometry; crystal system = trigonal; D(E_F) = 1.2 states/eV/f.u.; space-group type = P-3; electronic total energy = -7.3364 eV/atom
1.0
4.8803 0.0000 0.0000
-2.4401 4.2264 0.0000
0.0000 0.0000 7.4584
O Mg B Sc
6 2 2 1
direct
0.0584 0.6839 0.8264 O
0.6255 0.9416 0.8264 O
0.3161 0.3745 0.8264 O
0.3745 0.0584 0.1736 O
0.6839 0.6255 0.1736 O
0.9416 0.3161 0.1736 O
0.6667 0.3333 0.7202 Mg
0.3333 0.6667 0.2798 Mg
0.3333 0.6667 0.8252 B
0.6667 0.3333 0.1748 B
0.0000 0.0000 0.0000 Sc


Record 3
TlZn3Cd3 PBE-GGA optimized geometry; crystal system = cubic; D(E_F) = 3.3 states/eV/f.u.; space-group type = Pm-3n; ΔH_f (0 K) = 366 meV per atom
1.0
7.5102 0.0000 0.0000
0.0000 7.5102 0.0000
0.0000 0.0000 7.5102
Zn Cd Tl
6 6 2
direct
0.0000 0.5000 0.7500 Zn
0.2500 0.0000 0.5000 Zn
0.0000 0.5000 0.2500 Zn
0.5000 0.2500 0.0000 Zn
0.5000 0.7500 0.0000 Zn
0.7500 0.0000 0.5000 Zn
0.5000 0.0000 0.2500 Cd
0.5000 0.0000 0.7500 Cd
0.2500 0.5000 0.0000 Cd
0.0000 0.2500 0.5000 Cd
0.0000 0.7500 0.5000 Cd
0.7500 0.5000 0.0000 Cd
0.0000 0.0000 0.0000 Tl
0.5000 0.5000 0.5000 Tl


Record 4
GaSiNiOs PBE-GGA optimized geometry; crystal system = tetragonal; D(E_F) = 2.0 states/eV/f.u.; space-group type = P4mm; electronic total energy = -6.5816 eV/atom
1.0
3.1575 0.0000 0.0000
0.0000 3.1575 0.0000
0.0000 0.0000 5.3012
Os Si Ni Ga
1 1 1 1
direct
0.5000 0.5000 0.5212 Os
0.0000 0.0000 0.7198 Si
0.0000 0.0000 0.1898 Ni
0.5000 0.5000 0.0162 Ga


Record 5
Ca2CoPb PBE-GGA optimized geometry; crystal system = orthorhombic; D(E_F) = 5.0 states/eV/f.u.; space-group type = Pmmm; ΔH_f (0 K) = -14 meV per atom
1.0
-0.3959 -1.5807 3.1807
-2.3340 -2.2455 -1.4065
3.6171 -7.3100 -3.1827
Ca Pb Co
2 1 1
direct
0.0000 0.9617 0.0386 Ca
0.0000 0.5383 0.4614 Ca
0.5000 0.7500 0.7500 Pb
0.5000 0.2500 0.2500 Co


Record 6
FeHg3Cl PBE-GGA optimized geometry; crystal system = cubic; D(E_F) = 3.9 states/eV/f.u.; space-group type = Pm-3m; electronic total energy = -2.0211 eV/atom
1.0
-2.3506 -1.5241 -4.4097
3.9584 -3.2650 -0.9816
-2.4695 -3.7829 2.6239
Hg Fe Cl
3 1 1
direct
0.5000 0.0000 0.0000 Hg
0.0000 0.0000 0.5000 Hg
0.0000 0.5000 0.0000 Hg
0.0000 0.0000 0.0000 Fe
0.5000 0.5000 0.5000 Cl


Record 7
Pu2HfN3 PBE-GGA optimized geometry; crystal system = monoclinic; D(E_F) = 12.5 states/eV/f.u.; space-group type = C2/c; electronic total energy = -12.0091 eV/atom
1.0
-5.1058 -1.0331 -2.6070
2.5356 -5.2286 -0.7124
-1.9127 1.5669 5.3067
Pu N Hf
4 6 2
direct
0.7500 0.0842 0.9158 Pu
0.2500 0.2464 0.7536 Pu
0.2500 0.9158 0.0842 Pu
0.7500 0.7536 0.2464 Pu
0.9960 0.8008 0.6488 N
0.4960 0.6488 0.8008 N
0.0040 0.1992 0.3512 N
0.5000 0.0000 0.5000 N
0.5040 0.3512 0.1992 N
0.0000 0.5000 0.0000 N
0.7500 0.4212 0.5788 Hf
0.2500 0.5788 0.4212 Hf


Record 8
Ca2In3Rh PBE-GGA optimized geometry; crystal system = monoclinic; D(E_F) = 3.6 states/eV/f.u.; space-group type = C2/m; ΔH_f (0 K) = -433 meV per atom
1.0
-3.9322 -1.3829 4.2839
2.3860 -4.3064 -3.3893
5.2804 1.8960 1.3098
Ca Rh In
2 1 3
direct
0.7444 0.3723 0.1167 Ca
0.2556 0.6277 0.8833 Ca
0.0000 0.0000 0.0000 Rh
0.0000 0.0000 0.5000 In
0.5000 0.0000 0.5000 In
0.5000 0.5000 0.5000 In


Record 9
TbPm3Sn4 PBE-GGA optimized geometry; crystal system = orthorhombic; D(E_F) = 9.8 states/eV/f.u.; space-group type = Pmmn; ΔH_f (0 K) = -529 meV per atom
1.0
6.3267 0.0000 0.0000
0.0000 6.3294 0.0000
0.0000 0.0000 12.6925
Sn Tb Pm
8 2 6
direct
0.5644 0.7520 0.7480 Sn
0.5644 0.2348 0.5000 Sn
0.5644 0.7520 0.2520 Sn
0.5645 0.2672 0.0000 Sn
0.0644 0.2480 0.2480 Sn
0.0645 0.7328 0.5000 Sn
0.0644 0.7652 0.0000 Sn
0.0644 0.2480 0.7520 Sn
0.5644 0.7349 0.5000 Tb
0.0644 0.2651 0.0000 Tb
0.5644 0.2520 0.7500 Pm
0.5644 0.2520 0.2500 Pm
0.0644 0.7480 0.2500 Pm
0.0644 0.7480 0.7500 Pm
0.5643 0.7670 0.0000 Pm
0.0643 0.2330 0.5000 Pm


Record 10
Cd2PbAu6 PBE-GGA optimized geometry; crystal system = triclinic; D(E_F) = 1.9 states/eV/f.u.; space-group type = P-1; ΔH_f (0 K) = -74 meV per atom
1.0
-2.0391 3.3830 3.2281
-7.8285 -0.5793 -4.2947
1.4326 -5.6276 6.8066
Au Pb Cd
12 2 4
direct
0.4861 0.0118 0.1653 Au
0.0117 0.8346 0.9881 Au
0.0130 0.4888 0.3349 Au
0.5108 0.3347 0.4888 Au
0.5139 0.9882 0.8347 Au
0.7533 0.4168 0.9170 Au
0.9883 0.1654 0.0119 Au
0.4892 0.6653 0.5112 Au
0.2533 0.9170 0.4168 Au
0.7467 0.0830 0.5832 Au
0.9870 0.5112 0.6651 Au
0.2467 0.5832 0.0830 Au
0.7500 0.7502 0.2498 Pb
0.2500 0.2498 0.7502 Pb
0.5005 0.3370 0.1634 Cd
0.4995 0.6630 0.8366 Cd
0.0015 0.8366 0.6630 Cd
0.9985 0.1634 0.3370 Cd


Record 11
La3SiPd PBE-GGA optimized geometry; crystal system = cubic; D(E_F) = 7.4 states/eV/f.u.; space-group type = Pm-3m; electronic total energy = -5.1547 eV/atom
1.0
5.5539 0.0000 0.0000
0.0000 5.5539 0.0000
0.0000 0.0000 5.5539
La Si Pd
3 1 1
direct
0.0000 0.5000 0.0000 La
0.0000 0.0000 0.5000 La
0.5000 0.0000 0.0000 La
0.5000 0.5000 0.5000 Si
0.0000 0.0000 0.0000 Pd


What did the tenth record say?
Cd2PbAu6 PBE-GGA optimized geometry; crystal system = triclinic; D(E_F) = 1.9 states/eV/f.u.; space-group type = P-1; ΔH_f (0 K) = -74 meV per atom
1.0
-2.0391 3.3830 3.2281
-7.8285 -0.5793 -4.2947
1.4326 -5.6276 6.8066
Au Pb Cd
12 2 4
direct
0.4861 0.0118 0.1653 Au
0.0117 0.8346 0.9881 Au
0.0130 0.4888 0.3349 Au
0.5108 0.3347 0.4888 Au
0.5139 0.9882 0.8347 Au
0.7533 0.4168 0.9170 Au
0.9883 0.1654 0.0119 Au
0.4892 0.6653 0.5112 Au
0.2533 0.9170 0.4168 Au
0.7467 0.0830 0.5832 Au
0.9870 0.5112 0.6651 Au
0.2467 0.5832 0.0830 Au
0.7500 0.7502 0.2498 Pb
0.2500 0.2498 0.7502 Pb
0.5005 0.3370 0.1634 Cd
0.4995 0.6630 0.8366 Cd
0.0015 0.8366 0.6630 Cd
0.9985 0.1634 0.3370 Cd


Which value of D(E_F) does entry 7 give? 12.5 states/eV/f.u.


Which value of D(E_F) does entry 10 give? 1.9 states/eV/f.u.